NdGdNiAg: optimized geometry, PBE.

Cell: 7.1908 7.1908 7.1908 Å, 90.00 90.00 90.00°
Closest atoms and distances in Å follow each position.
Space group F-43m (No. 216)
Inequivalent atoms, fractional coordinates:
Nd 0.0000 0.0000 0.0000 [4 per cell]  4 Ag 3.11, 4 Ni 3.11
Gd 0.0000 0.0000 0.5000 [4 per cell]  4 Ni 3.11, 4 Ag 3.11
Ni 0.2500 0.2500 0.2500 [4 per cell]  4 Gd 3.11, 4 Nd 3.11
Ag 0.2500 0.2500 0.7500 [4 per cell]  4 Gd 3.11, 4 Nd 3.11

Output
Crystal system   cubic
Uncorrected energy   -7.111 eV/atom
Energy relative to the elements   -0.24 eV per atom
Fermi-level density of states   0.666 states/eV/atom


Ti4P5H: optimized geometry, PBE.

Cell: 12.7110 3.2979 7.2564 Å, 90.00 90.32 90.00°
Closest atoms and distances in Å follow each position.
Space group C2/m (No. 12)
Inequivalent atoms, fractional coordinates:
Ti 0.9995 0.0000 0.2423 [4 per cell]  4 P 2.41-2.42, 2 H 2.49
Ti 0.1506 0.5000 0.5010 [4 per cell]  1 H 1.91
P 0.0000 0.5000 0.0000 [2 per cell]  4 Ti 2.41
P 0.1894 0.0000 0.2456 [4 per cell]  2 P 2.25, 1 Ti 2.41
P 0.1907 0.0000 0.7573 [4 per cell]  2 P 2.25, 1 Ti 2.42
H 0.0000 0.5000 0.5000 [2 per cell]  2 Ti 1.91

Output
Crystal system   monoclinic
Uncorrected energy   -6.714 eV/atom
Fermi-level density of states   0.477 states/eV/atom


LaCl: optimized geometry, PBE.

Cell: 3.9702 4.3019 5.9160 Å, 90.00 90.43 90.00°
Closest atoms and distances in Å follow each position.
Space group P2_1/m (No. 11)
Inequivalent atoms, fractional coordinates:
La 0.2484 0.2500 0.2766 [2 per cell]  6 Cl 2.94-2.97
Cl 0.2521 0.2500 0.7751 [2 per cell]  6 La 2.94-2.97

Output
Crystal system   monoclinic
Uncorrected energy   -4.905 eV/atom
Fermi-level density of states   0.549 states/eV/atom


ScNiAs2: optimized geometry, PBE.

Cell: 3.0997 4.3366 5.5662 Å, 90.00 105.93 90.00°
Closest atoms and distances in Å follow each position.
Space group Pm (No. 6)
Inequivalent atoms, fractional coordinates:
Sc 0.0000 0.0000 0.0000 [1 per cell]  7 As 2.77-2.97, 4 Ni 3.10, 2 Sc 3.10
Ni 0.3547 0.5000 0.7047 [1 per cell]  3 As 2.31-2.34
As 0.2800 0.0000 0.5557 [1 per cell]  2 Ni 2.31
As 0.5691 0.5000 0.1422 [1 per cell]  1 Ni 2.34

Output
Crystal system   monoclinic
Uncorrected energy   -5.829 eV/atom
Energy relative to the elements   -0.48 eV per atom
Fermi-level density of states   0.707 states/eV/atom